Entry from Alexandria via LeMat-Bulk: a crystal of CaTl2P relaxed with PBEsol (SCAN).

Summary:
The value obtained for the magnetic moment is 0.00 μB/cell. As for the density of states at the Fermi level: 3.00 states/eV/cell. For the formation energy, the calculation gives -400 meV per atom. Its energy above the most stable polymorph in this dataset is 53.2 meV/atom. As for the total energy: -41.595 eV/atom.

abc: 9.958 3.905 5.773
angles: 90.00 113.97 90.00
Space group Cm (No. 8)
Unique sites:
Ca 0.000 0.000 0.000
Tl 0.102 0.500 0.618
Tl 0.317 0.500 0.373
P 0.292 0.000 0.016